(1)
TaMnAu2 | PBE | relaxed

Output
The density is 15.935 Mg/m³. For the volume, the calculation gives 16.41 Å³ per atom. As for the formation enthalpy at 0 K: 0.423 eV per atom.

Lattice parameters (Å, degrees): 6.4031 6.4031 6.4031 90.00 90.00 90.00
Space group Fm-3m (No. 225)
Asymmetric unit:
Ta: 0.0000 0.0000 0.0000 (multiplicity 4)
Mn: 0.0000 0.0000 0.5000 (multiplicity 4)
Au: 0.2500 0.2500 0.2500 (multiplicity 8)

=====

(2)
Na4Cu6O5 | PBE | relaxed

Output
The density is 4.331 Mg/m³. For the volume, the calculation gives 14.14 Å³ per atom. Its formation energy from raw total energies is -19.3 kcal/mol of atoms.

Lattice parameters (Å, degrees): 7.7976 7.7976 8.0566 90.00 90.00 120.00
Space group P-62c (No. 190)
Asymmetric unit:
Na: 0.0000 0.0000 0.0000 (multiplicity 2)
Na: 0.1269 0.3974 0.2500 (multiplicity 6)
Cu: 0.1736 0.7187 0.5902 (multiplicity 12)
O: 0.0692 0.8088 0.7500 (multiplicity 6)
O: 0.3333 0.6667 0.0570 (multiplicity 4)

=====

(3)
K2ScRh | PBE | relaxed

Output
Its energy above the most stable polymorph in this dataset is 531 meV/atom. The density is 3.591 Mg/m³. For the volume, the calculation gives 26.13 Å³ per atom. As for the formation enthalpy at 0 K: 0.493 eV per atom.

Lattice parameters (Å, degrees): 4.1795 4.1795 5.9835 90.00 90.00 90.00
Space group P4/mmm (No. 123)
Asymmetric unit:
K: 0.0000 0.5000 0.0000 (multiplicity 2)
Sc: 0.0000 0.0000 0.5000 (multiplicity 1)
Rh: 0.5000 0.5000 0.5000 (multiplicity 1)

=====

(4)
ThSc2Ti | PBE | relaxed

Output
Its energy above the most stable polymorph in this dataset is 27 meV/atom. The density is 6.305 Mg/m³. For the volume, the calculation gives 24.35 Å³ per atom. As for the formation enthalpy at 0 K: 0.117 eV per atom.

Lattice parameters (Å, degrees): 3.2477 3.2477 9.2335 90.00 90.00 90.00
Space group P4/mmm (No. 123)
Asymmetric unit:
Th: 0.0000 0.0000 0.0000 (multiplicity 1)
Sc: 0.5000 0.5000 0.2825 (multiplicity 2)
Ti: 0.0000 0.0000 0.5000 (multiplicity 1)

=====

(5)
Li2In4Pb3 | PBE | relaxed

Output
The density is 7.692 Mg/m³. For the volume, the calculation gives 26.26 Å³ per atom. As for the formation enthalpy at 0 K: -0.097 eV per atom.

Lattice parameters (Å, degrees): 10.6268 4.6180 10.3596 90.00 111.61 90.00
Space group C2/m (No. 12)
Asymmetric unit:
Li: 0.1591 0.0000 0.2159 (multiplicity 4)
In: 0.0075 0.5000 0.6772 (multiplicity 4)
In: 0.1672 0.0000 0.8922 (multiplicity 4)
Pb: 0.0000 0.5000 0.0000 (multiplicity 2)
Pb: 0.1737 0.0000 0.5673 (multiplicity 4)

=====

(6)
PmYSe2Cl | PBE | relaxed

Output
The density is 5.825 Mg/m³. For the volume, the calculation gives 24.36 Å³ per atom. Its formation energy from raw total energies is -43.4 kcal/mol of atoms.

Lattice parameters (Å, degrees): 4.1628 4.1628 14.0575 90.00 90.00 90.00
Space group P4/nmm (No. 129, origin choice 2)
Asymmetric unit:
Pm: 0.2500 0.2500 0.1456 (multiplicity 2)
Y: 0.2500 0.2500 0.5899 (multiplicity 2)
Se: 0.2500 0.2500 0.3818 (multiplicity 2)
Se: 0.2500 0.2500 0.7956 (multiplicity 2)
Cl: 0.2500 0.7500 0.0000 (multiplicity 2)

=====

(7)
HfCo3B2 | PBE | relaxed

Output
Its energy above the most stable polymorph in this dataset is 18 meV/atom. The density is 10.187 Mg/m³. For the volume, the calculation gives 10.24 Å³ per atom. As for the formation enthalpy at 0 K: -0.580 eV per atom.

Lattice parameters (Å, degrees): 4.8113 4.8113 3.0647 90.00 90.00 120.00
Space group P6/mmm (No. 191)
Asymmetric unit:
Hf: 0.0000 0.0000 0.0000 (multiplicity 1)
Co: 0.0000 0.5000 0.5000 (multiplicity 3)
B: 0.3333 0.6667 0.0000 (multiplicity 2)

=====

(8)
La9SmTl2 | PBE | relaxed

Output
The density is 7.419 Mg/m³. For the volume, the calculation gives 33.75 Å³ per atom. As for the formation enthalpy at 0 K: -0.148 eV per atom.

Lattice parameters (Å, degrees): 5.1063 5.1063 15.5321 90.00 90.00 90.00
Space group P4/mmm (No. 123)
Asymmetric unit:
La: 0.0000 0.0000 0.0000 (multiplicity 1)
La: 0.0000 0.0000 0.3377 (multiplicity 2)
La: 0.0000 0.5000 0.1719 (multiplicity 4)
La: 0.0000 0.5000 0.5000 (multiplicity 2)
Sm: 0.5000 0.5000 0.0000 (multiplicity 1)
Tl: 0.5000 0.5000 0.3373 (multiplicity 2)

=====

(9)
Th4P2IrS | PBE | relaxed

Output
The density is 10.080 Mg/m³. For the volume, the calculation gives 25.01 Å³ per atom. Its formation energy from raw total energies is -33.4 kcal/mol of atoms.

Lattice parameters (Å, degrees): 7.1970 4.0632 7.2558 90.00 109.47 90.00
Space group P2/m (No. 10)
Asymmetric unit:
Th: 0.2410 0.0000 0.2441 (multiplicity 2)
Th: 0.2485 0.5000 0.7459 (multiplicity 2)
P: 0.0000 0.0000 0.5000 (multiplicity 1)
P: 0.5000 0.5000 0.5000 (multiplicity 1)
Ir: 0.0000 0.5000 0.0000 (multiplicity 1)
S: 0.5000 0.0000 0.0000 (multiplicity 1)

=====

(10)
CaVBSe | PBE | relaxed

Output
Its energy above the most stable polymorph in this dataset is 280 meV/atom. The density is 3.897 Mg/m³. For the volume, the calculation gives 19.26 Å³ per atom. Its formation energy from raw total energies is -2.7 kcal/mol of atoms.

Lattice parameters (Å, degrees): 8.3653 3.5078 5.2511 90.00 90.17 90.00
Space group Cm (No. 8)
Asymmetric unit:
Ca: 0.0000 0.0000 0.0000 (multiplicity 2)
V: 0.2512 0.0000 0.5763 (multiplicity 2)
B: 0.2214 0.5000 0.7742 (multiplicity 2)
Se: 0.0357 0.5000 0.4646 (multiplicity 2)

=====

(11)
CsK2BeF6 | PBE | relaxed

Output
The density is 2.476 Mg/m³. For the volume, the calculation gives 22.41 Å³ per atom. Its formation energy from raw total energies is -62.0 kcal/mol of atoms.

Lattice parameters (Å, degrees): 10.3482 12.5899 7.2866 90.00 109.24 90.00
Space group C2/c (No. 15)
Asymmetric unit:
Cs: 0.0000 0.1434 0.2500 (multiplicity 4)
K: 0.1670 0.3969 0.0553 (multiplicity 8)
Be: 0.0000 0.1405 0.7500 (multiplicity 4)
F: 0.0806 0.4142 0.3719 (multiplicity 8)
F: 0.0931 0.2103 0.9215 (multiplicity 8)
F: 0.0990 0.0692 0.6780 (multiplicity 8)

=====

(12)
Mn3Se | PBE | relaxed

Output
Its energy above the most stable polymorph in this dataset is 68 meV/atom. The density is 6.345 Mg/m³. For the volume, the calculation gives 15.95 Å³ per atom. Its formation energy from raw total energies is 3.9 kcal/mol of atoms.

Lattice parameters (Å, degrees): 3.7795 3.7795 5.1569 90.00 90.00 120.00
Space group P-6m2 (No. 187)
Asymmetric unit:
Mn: 0.0000 0.0000 0.0000 (multiplicity 1)
Mn: 0.3333 0.6667 0.2424 (multiplicity 2)
Se: 0.0000 0.0000 0.5000 (multiplicity 1)